Density functional theory data (PBE) for a geometry-optimized Pm3Sm5Sn structure.

Electronic total energy   -4.449 eV per atom

abc: 6.982 6.982 13.544
angles: 90.17 90.17 71.33
Fractional coordinates of all 18 atoms:
1 Pm 0.761 0.761 0.879
2 Pm 0.634 0.634 0.496
3 Pm 0.000 0.000 0.000
4 Pm 0.000 0.000 0.500
5 Pm 0.239 0.239 0.121
6 Pm 0.366 0.366 0.504
7 Sm 0.011 0.483 0.334
8 Sm 0.328 0.672 0.000
9 Sm 0.764 0.764 0.130
10 Sm 0.500 0.500 0.255
11 Sm 0.500 0.500 0.745
12 Sm 0.236 0.236 0.870
13 Sm 0.483 0.011 0.334
14 Sm 0.672 0.328 0.000
15 Sm 0.989 0.517 0.666
16 Sm 0.517 0.989 0.666
17 Sn 0.999 0.999 0.742
18 Sn 0.001 0.001 0.258